[1]
Computed, not measured: a geometry-optimized TcSb3Pb structure at the GGA-PBE level of DFT.

Calculated values
Relative energy among the computed polymorphs (meV per atom): 0
DOS(E_F) (states/eV/cell): 4.2
Calculated total energy (eV per atom): -4.88
Space-group type: Pm-3m
Energy relative to the elements, uncorrected (eV/atom): 0.407
Total magnetization (Bohr magnetons per cell): 0.00

a = 5.221 Å, b = 5.221 Å, c = 5.221 Å
α = 90.00°, β = 90.00°, γ = 90.00°
Positions (direct):
Sb 0.000 0.000 0.500
Sb 0.000 0.500 0.000
Sb 0.500 0.000 0.000
Tc 0.000 0.000 0.000
Pb 0.500 0.500 0.500

---

[2]
Computed, not measured: a geometry-optimized Tc2SbPb structure at the GGA-PBE level of DFT.

Calculated values
Relative energy among the computed polymorphs (meV per atom): 315
DOS(E_F) (states/eV/cell): 3.7
Calculated total energy (eV per atom): -6.64
Space-group type: C2/m
Energy relative to the elements, uncorrected (eV/atom): 0.497
Total magnetization (Bohr magnetons per cell): 0.00

a = 4.552 Å, b = 4.552 Å, c = 5.854 Å
α = 77.12°, β = 77.12°, γ = 41.48°
Positions (direct):
Tc 0.498 0.498 0.546
Tc 0.002 0.002 0.954
Pb 0.250 0.250 0.250
Sb 0.750 0.750 0.750

---

[3]
Computed, not measured: a geometry-optimized TcSb2Pb2 structure at the GGA-PBE level of DFT.

Calculated values
DOS(E_F) (states/eV/cell): 5.8
Calculated total energy (eV per atom): -4.97
Space-group type: P4/mbm
Energy relative to the elements, uncorrected (eV/atom): 0.234
Total magnetization (Bohr magnetons per cell): 0.00

a = 6.965 Å, b = 6.965 Å, c = 5.510 Å
α = 90.00°, β = 90.00°, γ = 90.00°
Positions (direct):
Sb 0.348 0.848 0.000
Sb 0.652 0.152 0.000
Sb 0.152 0.348 0.000
Sb 0.848 0.652 0.000
Pb 0.824 0.324 0.500
Pb 0.324 0.176 0.500
Pb 0.176 0.676 0.500
Pb 0.676 0.824 0.500
Tc 0.500 0.500 0.000
Tc 0.000 0.000 0.000

---

[4]
Computed, not measured: a geometry-optimized Tc2SbPb structure at the GGA-PBE level of DFT.

Calculated values
Relative energy among the computed polymorphs (meV per atom): 552
DOS(E_F) (states/eV/cell): 4.2
Calculated total energy (eV per atom): -6.41
Space-group type: C2/m
Energy relative to the elements, uncorrected (eV/atom): 0.734
Total magnetization (Bohr magnetons per cell): 0.00

a = 5.692 Å, b = 5.365 Å, c = 3.180 Å
α = 74.22°, β = 87.35°, γ = 121.12°
Positions (direct):
Tc 0.500 0.000 0.500
Tc 0.000 0.000 0.000
Sb 0.500 0.500 0.000
Pb 0.000 0.500 0.500

---

[5]
Computed, not measured: a geometry-optimized Tc2SbPb structure at the GGA-PBE level of DFT.

Calculated values
Relative energy among the computed polymorphs (meV per atom): 321
DOS(E_F) (states/eV/cell): 4.9
Calculated total energy (eV per atom): -6.64
Space-group type: Imm2
Energy relative to the elements, uncorrected (eV/atom): 0.504
Total magnetization (Bohr magnetons per cell): 0.01

a = 6.294 Å, b = 6.294 Å, c = 6.294 Å
α = 149.92°, β = 141.07°, γ = 49.96°
Positions (direct):
Pb 0.466 0.466 0.000
Tc 0.028 0.028 0.000
Tc 0.790 0.290 0.500
Sb 0.216 0.716 0.500

---

[6]
Computed, not measured: a geometry-optimized Tc2SbPb structure at the GGA-PBE level of DFT.

Calculated values
Relative energy among the computed polymorphs (meV per atom): 554
DOS(E_F) (states/eV/cell): 4.5
Calculated total energy (eV per atom): -6.40
Space-group type: I-4m2
Energy relative to the elements, uncorrected (eV/atom): 0.737
Total magnetization (Bohr magnetons per cell): 1.90

a = 5.765 Å, b = 5.765 Å, c = 5.765 Å
α = 140.32°, β = 140.32°, γ = 57.37°
Positions (direct):
Tc 0.250 0.750 0.500
Tc 0.000 0.000 0.000
Sb 0.750 0.250 0.500
Pb 0.500 0.500 0.000

---

[7]
Computed, not measured: a geometry-optimized TcSb4Pb structure at the GGA-PBE level of DFT.

Calculated values
DOS(E_F) (states/eV/cell): 3.2
Calculated total energy (eV per atom): -4.30
Space-group type: F-43m
Energy relative to the elements, uncorrected (eV/atom): 0.795
Total magnetization (Bohr magnetons per cell): 3.63

a = 6.202 Å, b = 6.202 Å, c = 6.202 Å
α = 60.00°, β = 60.00°, γ = 60.00°
Positions (direct):
Tc 0.750 0.750 0.750
Sb 0.376 0.376 0.873
Sb 0.376 0.376 0.376
Sb 0.376 0.873 0.376
Sb 0.873 0.376 0.376
Pb 0.000 0.000 0.000

---

[8]
Computed, not measured: a geometry-optimized Tc2SbPb structure at the GGA-PBE level of DFT.

Calculated values
Relative energy among the computed polymorphs (meV per atom): 236
DOS(E_F) (states/eV/cell): 4.8
Calculated total energy (eV per atom): -6.72
Space-group type: P4/mmm
Energy relative to the elements, uncorrected (eV/atom): 0.418
Total magnetization (Bohr magnetons per cell): 0.00

a = 3.300 Å, b = 3.300 Å, c = 6.691 Å
α = 90.00°, β = 90.00°, γ = 90.00°
Positions (direct):
Tc 0.000 0.000 0.517
Tc 0.000 0.000 0.983
Pb 0.500 0.500 0.250
Sb 0.500 0.500 0.750

---

[9]
Computed, not measured: a geometry-optimized Tc2SbPb structure at the GGA-PBE level of DFT.

Calculated values
Relative energy among the computed polymorphs (meV per atom): 513
DOS(E_F) (states/eV/cell): 3.7
Calculated total energy (eV per atom): -6.45
Space-group type: Cmmm
Energy relative to the elements, uncorrected (eV/atom): 0.695
Total magnetization (Bohr magnetons per cell): 0.00

a = 3.183 Å, b = 3.183 Å, c = 8.676 Å
α = 90.00°, β = 90.00°, γ = 117.34°
Positions (direct):
Pb 0.500 0.500 0.250
Tc 0.000 0.000 0.514
Tc 0.000 0.000 0.986
Sb 0.500 0.500 0.750

---

[10]
Computed, not measured: a geometry-optimized TcSbPb structure at the GGA-PBE level of DFT.

Calculated values
Relative energy among the computed polymorphs (meV per atom): 111
DOS(E_F) (states/eV/cell): 1.5
Calculated total energy (eV per atom): -5.82
Space-group type: P3m1
Energy relative to the elements, uncorrected (eV/atom): 0.250
Total magnetization (Bohr magnetons per cell): 0.00

a = 3.438 Å, b = 3.438 Å, c = 6.729 Å
α = 90.00°, β = 90.00°, γ = 120.00°
Positions (direct):
Sb 0.333 0.667 0.386
Tc 0.667 0.333 0.651
Pb 0.000 0.000 0.963

---

[11]
Computed, not measured: a geometry-optimized Tc2Sb2Pb structure at the GGA-PBE level of DFT.

Calculated values
Relative energy among the computed polymorphs (meV per atom): 0
DOS(E_F) (states/eV/cell): 10.3
Calculated total energy (eV per atom): -6.26
Space-group type: P4/mbm
Energy relative to the elements, uncorrected (eV/atom): 0.279
Total magnetization (Bohr magnetons per cell): 0.00

a = 7.918 Å, b = 7.918 Å, c = 3.208 Å
α = 90.00°, β = 90.00°, γ = 90.00°
Positions (direct):
Tc 0.645 0.145 0.000
Tc 0.145 0.355 0.000
Tc 0.355 0.855 0.000
Tc 0.855 0.645 0.000
Pb 0.000 0.000 0.000
Pb 0.500 0.500 0.000
Sb 0.355 0.145 0.500
Sb 0.145 0.645 0.500
Sb 0.855 0.355 0.500
Sb 0.645 0.855 0.500

---

[12]
Computed, not measured: a geometry-optimized Tc2SbPb structure at the GGA-PBE level of DFT.

Calculated values
Relative energy among the computed polymorphs (meV per atom): 0
DOS(E_F) (states/eV/cell): 3.1
Calculated total energy (eV per atom): -6.96
Space-group type: P4mm
Energy relative to the elements, uncorrected (eV/atom): 0.182
Total magnetization (Bohr magnetons per cell): 0.00

a = 3.059 Å, b = 3.059 Å, c = 9.176 Å
α = 90.00°, β = 90.00°, γ = 90.00°
Positions (direct):
Tc 0.500 0.500 0.198
Tc 0.000 0.000 0.035
Pb 0.000 0.000 0.441
Sb 0.500 0.500 0.826

---

[13]
Computed, not measured: a geometry-optimized Tc2SbPb structure at the GGA-PBE level of DFT.

Calculated values
Relative energy among the computed polymorphs (meV per atom): 201
DOS(E_F) (states/eV/cell): 3.7
Calculated total energy (eV per atom): -6.76
Space-group type: R3m
Energy relative to the elements, uncorrected (eV/atom): 0.383
Total magnetization (Bohr magnetons per cell): 0.00

a = 10.983 Å, b = 10.983 Å, c = 10.983 Å
α = 16.17°, β = 16.17°, γ = 16.17°
Positions (direct):
Sb 0.724 0.724 0.724
Tc 0.990 0.990 0.990
Tc 0.266 0.266 0.266
Pb 0.520 0.520 0.520

---

[14]
Computed, not measured: a geometry-optimized Tc2SbPb structure at the GGA-PBE level of DFT.

Calculated values
Relative energy among the computed polymorphs (meV per atom): 1141
DOS(E_F) (states/eV/cell): 12.4
Calculated total energy (eV per atom): -5.82
Space-group type: I-42d
Energy relative to the elements, uncorrected (eV/atom): 1.324
Total magnetization (Bohr magnetons per cell): 5.76

a = 6.147 Å, b = 6.147 Å, c = 7.482 Å
α = 65.75°, β = 65.75°, γ = 90.00°
Positions (direct):
Tc 0.142 0.625 0.250
Tc 0.375 0.392 0.750
Tc 0.875 0.858 0.750
Tc 0.608 0.125 0.250
Sb 0.250 0.750 0.500
Sb 0.500 0.500 0.000
Pb 0.750 0.250 0.500
Pb 0.000 0.000 0.000